{"formula": "Ho2Er2Sb5", "functional": "GGA-PBE", "state": "relaxed", "spacegroup": "No. 64", "vol_a3_per_cell": 507.0, "raw_formation_energy_mev_per_atom": -817, "dos_ef_per_ev_cell": 10.67, "final_energy_ev_per_cell": -92.50, "magmom_total_mub_per_cell": 0.00, "lattice_angstrom": [[7.788, -3.971, 0.000], [7.788, 3.971, 0.000], [0.000, 0.000, 8.197]], "species": ["Ho", "Ho", "Ho", "Ho", "Er", "Er", "Er", "Er", "Sb", "Sb", "Sb", "Sb", "Sb", "Sb", "Sb", "Sb", "Sb", "Sb"], "frac_coords": [[0.191, 0.191, 0.000], [0.309, 0.309, 0.500], [0.691, 0.691, 0.500], [0.809, 0.809, 0.000], [0.156, 0.844, 0.660], [0.344, 0.656, 0.160], [0.656, 0.344, 0.840], [0.844, 0.156, 0.340], [0.000, 0.000, 0.000], [0.008, 0.711, 0.352], [0.211, 0.508, 0.852], [0.289, 0.992, 0.352], [0.492, 0.789, 0.852], [0.500, 0.500, 0.500], [0.508, 0.211, 0.148], [0.711, 0.008, 0.648], [0.789, 0.492, 0.148], [0.992, 0.289, 0.648]]}